1.
# MnTl2Hg meta-GGA SCAN single point on PBEsol structure
data_MnTl2Hg
_chemical_formula_sum 'Mn1 Tl2 Hg1'
_cell_length_a 5.6571
_cell_length_b 5.6571
_cell_length_c 5.6571
_cell_angle_alpha 134.93
_cell_angle_beta 134.93
_cell_angle_gamma 65.65
_symmetry_space_group_name_H-M 'P 1'
_symmetry_Int_Tables_number 1
_symmetry_space_group_name_Hall 'P 1'
loop_
_atom_site_label
_atom_site_type_symbol
_atom_site_fract_x
_atom_site_fract_y
_atom_site_fract_z
Mn1 Mn 0.0000 0.0000 0.0000
Tl1 Tl 0.5000 0.5000 0.0000
Tl2 Tl 0.7500 0.2500 0.5000
Hg1 Hg 0.2500 0.7500 0.5000
# Crystal system = tetragonal
# Energy of formation = 0.1736 eV per atom
# Magnetization = 4.3 μB/cell
# Offset from the most stable computed form = 105 meV/atom

***

2.
# Co2PS meta-GGA SCAN single point on PBEsol structure
data_Co2PS
_chemical_formula_sum 'Co4 P2 S2'
_cell_length_a 5.9844
_cell_length_b 5.9844
_cell_length_c 5.9844
_cell_angle_alpha 131.62
_cell_angle_beta 131.62
_cell_angle_gamma 70.83
_symmetry_space_group_name_H-M 'P 1'
_symmetry_Int_Tables_number 1
_symmetry_space_group_name_Hall 'P 1'
loop_
_atom_site_label
_atom_site_type_symbol
_atom_site_fract_x
_atom_site_fract_y
_atom_site_fract_z
Co1 Co 0.1199 0.6250 0.9949
Co2 Co 0.3750 0.3699 0.4949
Co3 Co 0.6301 0.1250 0.0051
Co4 Co 0.8750 0.8801 0.5051
P1 P 0.2500 0.7500 0.5000
P2 P 0.5000 0.5000 0.0000
S1 S 0.0000 0.0000 0.0000
S2 S 0.7500 0.2500 0.5000
# Crystal system = tetragonal
# Magnetization = 0.0 μB/cell
# Total DFT energy (no corrections) = -13.832 eV per atom

***

3.
# ZnFe3 meta-GGA SCAN single point on PBEsol structure
data_ZnFe3
_chemical_formula_sum 'Zn1 Fe3'
_cell_length_a 4.6586
_cell_length_b 4.6586
_cell_length_c 4.6586
_cell_angle_alpha 143.73
_cell_angle_beta 129.42
_cell_angle_gamma 63.82
_symmetry_space_group_name_H-M 'P 1'
_symmetry_Int_Tables_number 1
_symmetry_space_group_name_Hall 'P 1'
loop_
_atom_site_label
_atom_site_type_symbol
_atom_site_fract_x
_atom_site_fract_y
_atom_site_fract_z
Zn1 Zn 0.0000 0.0000 0.0000
Fe1 Fe 0.2592 0.7592 0.5000
Fe2 Fe 0.5000 0.5000 0.0000
Fe3 Fe 0.7408 0.2408 0.5000
# Crystal system = orthorhombic
# Energy of formation = -0.0080 eV per atom
# Magnetization = 7.5 μB/cell

***

4.
# ReAsSe2 meta-GGA SCAN single point on PBEsol structure
data_ReAsSe2
_chemical_formula_sum 'Re1 As1 Se2'
_cell_length_a 4.5117
_cell_length_b 4.5117
_cell_length_c 4.5117
_cell_angle_alpha 109.38
_cell_angle_beta 109.38
_cell_angle_gamma 109.65
_symmetry_space_group_name_H-M 'P 1'
_symmetry_Int_Tables_number 1
_symmetry_space_group_name_Hall 'P 1'
loop_
_atom_site_label
_atom_site_type_symbol
_atom_site_fract_x
_atom_site_fract_y
_atom_site_fract_z
Re1 Re 0.0000 0.0000 0.0000
As1 As 0.5000 0.5000 0.0000
Se1 Se 0.0000 0.5000 0.5000
Se2 Se 0.5000 0.0000 0.5000
# Crystal system = tetragonal
# Magnetization = 0.0 μB/cell
# Total DFT energy (no corrections) = -32.214 eV per atom

***

5.
# ScTa2Rh meta-GGA SCAN single point on PBEsol structure
data_ScTa2Rh
_chemical_formula_sum 'Sc1 Ta2 Rh1'
_cell_length_a 3.1570
_cell_length_b 4.4542
_cell_length_c 4.8106
_cell_angle_alpha 90.00
_cell_angle_beta 90.00
_cell_angle_gamma 90.00
_symmetry_space_group_name_H-M 'P 1'
_symmetry_Int_Tables_number 1
_symmetry_space_group_name_Hall 'P 1'
loop_
_atom_site_label
_atom_site_type_symbol
_atom_site_fract_x
_atom_site_fract_y
_atom_site_fract_z
Sc1 Sc 0.0000 0.0000 0.0000
Ta1 Ta 0.0000 0.5000 0.5000
Ta2 Ta 0.5000 0.0000 0.5000
Rh1 Rh 0.5000 0.5000 0.0000
# Crystal system = orthorhombic
# Energy of formation = -0.3130 eV per atom
# Magnetization = 0.0 μB/cell
# Offset from the most stable computed form = 0 meV/atom

***

6.
# ZnCoCl meta-GGA SCAN single point on PBEsol structure
data_ZnCoCl
_chemical_formula_sum 'Zn1 Co1 Cl1'
_cell_length_a 4.2257
_cell_length_b 4.2257
_cell_length_c 4.2257
_cell_angle_alpha 60.00
_cell_angle_beta 60.00
_cell_angle_gamma 60.00
_symmetry_space_group_name_H-M 'P 1'
_symmetry_Int_Tables_number 1
_symmetry_space_group_name_Hall 'P 1'
loop_
_atom_site_label
_atom_site_type_symbol
_atom_site_fract_x
_atom_site_fract_y
_atom_site_fract_z
Zn1 Zn 0.0000 0.0000 0.0000
Co1 Co 0.2500 0.2500 0.2500
Cl1 Cl 0.7500 0.7500 0.7500
# Crystal system = cubic
# Magnetization = 2.0 μB/cell
# Total DFT energy (no corrections) = -12.362 eV per atom

***

7.
# LaEr2Se4 meta-GGA SCAN single point on PBEsol structure
data_LaEr2Se4
_chemical_formula_sum 'La2 Er4 Se8'
_cell_length_a 7.4903
_cell_length_b 7.4903
_cell_length_c 7.4903
_cell_angle_alpha 109.43
_cell_angle_beta 109.43
_cell_angle_gamma 109.56
_symmetry_space_group_name_H-M 'P 1'
_symmetry_Int_Tables_number 1
_symmetry_space_group_name_Hall 'P 1'
loop_
_atom_site_label
_atom_site_type_symbol
_atom_site_fract_x
_atom_site_fract_y
_atom_site_fract_z
La1 La 0.0000 0.0000 0.0000
La2 La 0.7500 0.2500 0.5000
Er1 Er 0.2618 0.6250 0.1368
Er2 Er 0.3750 0.5118 0.6368
Er3 Er 0.4882 0.1250 0.8632
Er4 Er 0.8750 0.7382 0.3632
Se1 Se 0.1343 0.7312 0.7478
Se2 Se 0.1365 0.2334 0.7522
Se3 Se 0.2688 0.0166 0.4031
Se4 Se 0.4812 0.3843 0.2478
Se5 Se 0.6135 0.8657 0.5969
Se6 Se 0.6157 0.8635 0.0969
Se7 Se 0.7666 0.5188 0.9031
Se8 Se 0.9834 0.3865 0.2522
# Crystal system = tetragonal
# Magnetization = 0.0 μB/cell
# Total DFT energy (no corrections) = -34.031 eV per atom

***

8.
# TcGeS2Cl meta-GGA SCAN single point on PBEsol structure
data_TcGeS2Cl
_chemical_formula_sum 'Tc1 Ge1 S2 Cl1'
_cell_length_a 4.5392
_cell_length_b 4.5392
_cell_length_c 4.7829
_cell_angle_alpha 90.00
_cell_angle_beta 90.00
_cell_angle_gamma 90.00
_symmetry_space_group_name_H-M 'P 1'
_symmetry_Int_Tables_number 1
_symmetry_space_group_name_Hall 'P 1'
loop_
_atom_site_label
_atom_site_type_symbol
_atom_site_fract_x
_atom_site_fract_y
_atom_site_fract_z
Tc1 Tc 0.0000 0.0000 0.0000
Ge1 Ge 0.5000 0.5000 0.5000
S1 S 0.0000 0.5000 0.0000
S2 S 0.5000 0.0000 0.0000
Cl1 Cl 0.0000 0.0000 0.5000
# Crystal system = tetragonal
# Magnetization = 0.0 μB/cell
# Total DFT energy (no corrections) = -16.081 eV per atom